Computed, not measured: an optimized crystal structure of MnGaO3 at the GGA+U level of DFT.

Its total energy is -5.94 eV/atom. The value obtained for the density is 5.338 g/cm3.

Cell lengths 3.7729, 3.7729, 3.7729 Å; angles 90.00, 90.00, 90.00 degrees
With the nearest neighbours (Å) after each atom.
Space group Pm-3m (No. 221)
Asymmetric unit:
Mn (0.0000, 0.0000, 0.0000) (multiplicity 1)  6 O 1.89
Ga (0.5000, 0.5000, 0.5000) (multiplicity 1)  12 O 2.67
O (0.0000, 0.0000, 0.5000) (multiplicity 3)  2 Mn 1.89